(1)
First-principles (PBE) data for a geometry-optimized CaTbCo structure, as listed in the Alexandria database.

Computed properties:
Polymorph energy (0 for the lowest one) in eV/atom: 0.000
DFT total energy in eV/f.u.: -14.04
ΔH_f (0 K) in meV/atom: -100

Lattice parameters (Å, degrees): 3.9085 21.5109 3.8771 90.00 90.00 90.00
With the nearest neighbours (Å) after each atom.
Space group Cmcm (No. 63)
Inequivalent atoms, fractional coordinates:
Ca 0.0000 0.1859 0.2500 x4  1 Co 3.37, 4 Tb 3.72
Tb 0.0000 0.4307 0.2500 x4  6 Co 2.88
Co 0.0000 0.0292 0.2500 x4  2 Co 2.31

=====

(2)
First-principles (PBE) data for a geometry-optimized LiTbCeCd structure, as listed in the Alexandria database.

Computed properties:
DFT total energy in eV/f.u.: -13.41
ΔH_f (0 K) in meV/atom: -5

Lattice parameters (Å, degrees): 7.5345 7.5345 7.5345 90.00 90.00 90.00
With the nearest neighbours (Å) after each atom.
Space group F-43m (No. 216)
Inequivalent atoms, fractional coordinates:
Li 0.0000 0.0000 0.0000 x4  4 Tb 3.26, 4 Ce 3.26
Tb 0.2500 0.2500 0.2500 x4  4 Cd 3.26, 4 Li 3.26
Ce 0.2500 0.2500 0.7500 x4  4 Cd 3.26, 4 Li 3.26
Cd 0.0000 0.0000 0.5000 x4  4 Ce 3.26, 4 Tb 3.26

=====

(3)
First-principles (PBE) data for a geometry-optimized CdReCl3 structure, as listed in the Alexandria database.

Computed properties:
Polymorph energy (0 for the lowest one) in eV/atom: 0.000
DFT total energy in eV/f.u.: -18.24
Uncorrected formation energy in eV per formula unit: 0.660

Lattice parameters (Å, degrees): 4.9332 4.9332 4.9332 90.00 90.00 90.00
With the nearest neighbours (Å) after each atom.
Space group Pm-3m (No. 221)
Inequivalent atoms, fractional coordinates:
Cd 0.0000 0.0000 0.0000 x1  12 Cl 3.49
Re 0.5000 0.5000 0.5000 x1  6 Cl 2.47
Cl 0.0000 0.5000 0.5000 x3  2 Re 2.47

=====

(4)
First-principles (PBE) data for a geometry-optimized HfSeIO2 structure, as listed in the Alexandria database.

Computed properties:
Polymorph energy (0 for the lowest one) in eV/atom: 1.724
DFT total energy in eV/f.u.: -23.14
Uncorrected formation energy in eV per formula unit: 1.769

Lattice parameters (Å, degrees): 4.0381 4.0381 5.8033 90.00 90.00 90.00
With the nearest neighbours (Å) after each atom.
Space group P4/mmm (No. 123)
Inequivalent atoms, fractional coordinates:
Hf 0.0000 0.0000 0.0000 x1  4 I 2.86
Se 0.5000 0.5000 0.5000 x1  4 O 2.02
I 0.5000 0.5000 0.0000 x1  4 Hf 2.86, 2 Se 2.90
O 0.0000 0.5000 0.5000 x2  2 Se 2.02

=====

(5)
First-principles (PBE) data for a geometry-optimized CsCa2Cl5 structure, as listed in the Alexandria database.

Computed properties:
DFT total energy in eV/f.u.: -31.91
Uncorrected formation energy in eV per formula unit: -17.821

Lattice parameters (Å, degrees): 5.3876 5.3876 18.8799 90.00 90.00 90.00
With the nearest neighbours (Å) after each atom.
Space group I4/mmm (No. 139)
Inequivalent atoms, fractional coordinates:
Cs 0.0000 0.0000 0.0000 x2  12 Cl 3.81-3.86
Ca 0.0000 0.0000 0.3574 x4  5 Cl 2.69
Cl 0.0000 0.0000 0.5000 x2  2 Ca 2.69
Cl 0.0000 0.5000 0.1461 x8  2 Ca 2.69

=====

(6)
First-principles (PBE) data for a geometry-optimized TaNbMo4 structure, as listed in the Alexandria database.

Computed properties:
Polymorph energy (0 for the lowest one) in eV/atom: 0.215
DFT total energy in eV/f.u.: -64.89
ΔH_f (0 K) in meV/atom: 60

Lattice parameters (Å, degrees): 7.4569 7.4569 7.4569 90.00 90.00 90.00
With the nearest neighbours (Å) after each atom.
Space group F-43m (No. 216)
Inequivalent atoms, fractional coordinates:
Ta 0.0000 0.0000 0.0000 x4  12 Mo 3.09, 4 Nb 3.23
Nb 0.2500 0.2500 0.2500 x4  12 Mo 3.09, 4 Ta 3.23
Mo 0.1250 0.1250 0.6250 x16  6 Mo 2.64